Model a:
VS3Br | Alexandria | PBE | relaxed; SG = No. 221; density of states at the Fermi level = 6.17 states/eV/f.u.
1.0
4.804 0.000 0.000
0.000 4.804 0.000
0.000 0.000 4.804
S Br V
3 1 1
direct
0.000 0.500 0.000 S
0.000 0.000 0.500 S
0.500 0.000 0.000 S
0.000 0.000 0.000 Br
0.500 0.500 0.500 V


Model b:
VS3Br | Alexandria | PBE | relaxed; SG = No. 221; density of states at the Fermi level = 5.71 states/eV/f.u.
1.0
-4.155 1.966 -0.096
-1.335 -2.649 3.513
1.447 3.203 2.965
S Br V
3 1 1
direct
0.000 0.500 0.000 S
0.000 0.000 0.500 S
0.500 0.000 0.000 S
0.500 0.500 0.500 Br
0.000 0.000 0.000 V


Energy ordering: model b at the bottom, the next structure 1127 meV per atom above.